No. 1
Computed, not measured: crystalline SrInMo2 at its relaxed geometry at the GGA-PBE level of DFT.

Calculated values
SG = Immm, No. 71
formation energy from the elements = 941 meV per atom

Cell: 5.8381 5.8381 5.8381 Å, 144.53 131.58 61.44°
Fractional positions:
Sr  0.0000  0.0000  0.0000
In  0.5000  0.5000  0.0000
Mo  0.2614  0.7614  0.5000
Mo  0.7386  0.2386  0.5000

***

No. 2
Computed, not measured: crystalline UIn2PbBr8 at its relaxed geometry at the GGA-PBE level of DFT.

Calculated values
SG = P2/m, No. 10
E_form (uncorrected) = -0.98 eV per atom

Cell: 7.1411 8.9833 7.6024 Å, 90.00 92.07 90.00°
Fractional positions:
U  0.0000  0.0000  0.0000
In  0.5000  0.2563  0.5000
In  0.5000  0.7437  0.5000
Pb  0.0000  0.5000  0.0000
Br  0.2060  0.0000  0.3116
Br  0.2285  0.2298  0.8685
Br  0.2285  0.7702  0.8685
Br  0.2528  0.5000  0.3263
Br  0.7472  0.5000  0.6737
Br  0.7715  0.2298  0.1315
Br  0.7715  0.7702  0.1315
Br  0.7940  0.0000  0.6884

***

No. 3
Computed, not measured: crystalline KAcBeF6 at its relaxed geometry at the GGA-PBE level of DFT.

Calculated values
SG = P312, No. 149
E_form (uncorrected) = -3.36 eV per atom

Cell: 5.7088 5.7088 5.5983 Å, 90.00 90.00 120.00°
Fractional positions:
K  0.0000  0.0000  0.0000
Ac  0.3333  0.6667  0.5000
Be  0.6667  0.3333  0.5000
F  0.4065  0.0766  0.6886
F  0.4065  0.3298  0.3114
F  0.6702  0.0766  0.3114
F  0.6702  0.5935  0.6886
F  0.9234  0.3298  0.6886
F  0.9234  0.5935  0.3114

***

No. 4
Computed, not measured: crystalline LiCu2Ni at its relaxed geometry at the GGA-PBE level of DFT.

Calculated values
offset from the most stable computed form = 317 meV per atom
SG = I-42d, No. 122
formation energy from the elements = 272 meV per atom

Cell: 8.8883 8.8883 8.8883 Å, 157.72 157.72 31.72°
Fractional positions:
Li  0.0000  0.0000  0.0000
Li  0.7500  0.2500  0.5000
Cu  0.1281  0.6250  0.0031
Cu  0.3750  0.3781  0.5031
Cu  0.6219  0.1250  0.9969
Cu  0.8750  0.8719  0.4969
Ni  0.2500  0.7500  0.5000
Ni  0.5000  0.5000  0.0000

***

No. 5
Computed, not measured: crystalline ScTeMo at its relaxed geometry at the GGA-PBE level of DFT.

Calculated values
offset from the most stable computed form = 0 meV per atom
SG = P4/nmm, No. 129
E_form (uncorrected) = -0.44 eV per atom

Cell: 3.5667 3.5667 10.5352 Å, 90.00 90.00 90.00°
Fractional positions:
Sc  0.2500  0.2500  0.2224
Sc  0.7500  0.7500  0.7776
Te  0.2500  0.2500  0.6508
Te  0.7500  0.7500  0.3492
Mo  0.2500  0.2500  0.9364
Mo  0.7500  0.7500  0.0636

***

No. 6
Computed, not measured: crystalline DyLuPu at its relaxed geometry at the GGA-PBE level of DFT.

Calculated values
offset from the most stable computed form = 67 meV per atom
SG = P-6m2, No. 187
formation energy from the elements = 170 meV per atom

Cell: 5.5292 5.5292 3.2855 Å, 90.00 90.00 120.00°
Fractional positions:
Dy  0.0000  0.0000  0.0000
Lu  0.3333  0.6667  0.5000
Pu  0.6667  0.3333  0.5000